Entry 1:
Computed, not measured: a relaxed structure of Cd2AsCl at the GGA-PBE level of DFT.

abc: 3.4426 3.4426 29.0114
angles: 90.00 90.00 120.00
Fractional positions:
Cd: 0.0000 0.0000 0.0000
Cd: 0.0000 0.0000 0.2526
Cd: 0.3333 0.6667 0.6667
Cd: 0.3333 0.6667 0.9193
Cd: 0.6667 0.3333 0.3333
Cd: 0.6667 0.3333 0.5860
As: 0.0000 0.0000 0.7372
As: 0.3333 0.6667 0.4039
As: 0.6667 0.3333 0.0706
Cl: 0.0000 0.0000 0.5257
Cl: 0.3333 0.6667 0.1924
Cl: 0.6667 0.3333 0.8591

Calculated values
The value obtained for the uncorrected formation energy is -0.105 eV per atom. The excess energy over the best structure of this formula in the dataset is 347 meV/atom. Its total DFT energy (no corrections) is -2.187 eV per atom.

***

Entry 2:
Computed, not measured: a relaxed structure of Cd2AsCl at the GGA-PBE level of DFT.

abc: 3.0845 5.6270 10.4410
angles: 90.00 90.00 90.00
Fractional positions:
Cd: 0.0000 0.0000 0.0000
Cd: 0.0000 0.5000 0.2512
Cd: 0.5000 0.0000 0.7512
Cd: 0.5000 0.5000 0.5000
As: 0.0000 0.0000 0.5235
As: 0.5000 0.5000 0.0235
Cl: 0.0000 0.5000 0.7244
Cl: 0.5000 0.0000 0.2244

Calculated values
The value obtained for the uncorrected formation energy is -0.088 eV per atom. The excess energy over the best structure of this formula in the dataset is 364 meV/atom. Its total DFT energy (no corrections) is -2.170 eV per atom.

***

Entry 3:
Computed, not measured: a relaxed structure of CdAs2Cl at the GGA-PBE level of DFT.

abc: 3.2399 5.4854 9.3607
angles: 90.00 90.00 90.00
Fractional positions:
Cd: 0.0000 0.0000 0.0000
Cd: 0.5000 0.5000 0.0000
As: 0.0000 0.5000 0.2575
As: 0.0000 0.5000 0.7425
As: 0.5000 0.0000 0.2575
As: 0.5000 0.0000 0.7425
Cl: 0.0000 0.0000 0.5000
Cl: 0.5000 0.5000 0.5000

Calculated values
The value obtained for the uncorrected formation energy is 0.268 eV per atom. The excess energy over the best structure of this formula in the dataset is 540 meV/atom. Its total DFT energy (no corrections) is -2.748 eV per atom.

***

Entry 4:
Computed, not measured: a relaxed structure of Cd2AsCl at the GGA-PBE level of DFT.

abc: 4.1515 4.1515 19.7542
angles: 90.00 90.00 120.00
Fractional positions:
Cd: 0.0000 0.0000 0.2360
Cd: 0.0000 0.0000 0.7640
Cd: 0.3333 0.6667 0.4306
Cd: 0.3333 0.6667 0.9027
Cd: 0.6667 0.3333 0.0973
Cd: 0.6667 0.3333 0.5694
As: 0.0000 0.0000 0.5000
As: 0.3333 0.6667 0.1667
As: 0.6667 0.3333 0.8333
Cl: 0.0000 0.0000 0.0000
Cl: 0.3333 0.6667 0.6667
Cl: 0.6667 0.3333 0.3333

Calculated values
The value obtained for the uncorrected formation energy is -0.343 eV per atom. The excess energy over the best structure of this formula in the dataset is 109 meV/atom. Its total DFT energy (no corrections) is -2.425 eV per atom.

***

Entry 5:
Computed, not measured: a relaxed structure of Cd2AsCl2 at the GGA-PBE level of DFT.

abc: 7.9725 9.3446 8.4919
angles: 90.00 120.26 90.00
Fractional positions:
Cd: 0.0451 0.2038 0.2186
Cd: 0.0451 0.2962 0.7186
Cd: 0.4387 0.5746 0.2498
Cd: 0.4387 0.9254 0.7498
Cd: 0.5613 0.0746 0.2502
Cd: 0.5613 0.4254 0.7502
Cd: 0.9549 0.7038 0.2814
Cd: 0.9549 0.7962 0.7814
As: 0.0694 0.6191 0.0572
As: 0.0694 0.8809 0.5572
As: 0.9306 0.1191 0.4428
As: 0.9306 0.3809 0.9428
Cl: 0.2441 0.5209 0.6982
Cl: 0.2441 0.9791 0.1982
Cl: 0.4214 0.1887 0.9189
Cl: 0.4214 0.3113 0.4189
Cl: 0.5786 0.6887 0.5811
Cl: 0.5786 0.8113 0.0811
Cl: 0.7559 0.0209 0.8018
Cl: 0.7559 0.4791 0.3018

Calculated values
The value obtained for the uncorrected formation energy is -0.700 eV per atom. The excess energy over the best structure of this formula in the dataset is 0 meV/atom. Its total DFT energy (no corrections) is -2.735 eV per atom.

***

Entry 6:
Computed, not measured: a relaxed structure of CdAs2Cl at the GGA-PBE level of DFT.

abc: 3.7966 5.0720 5.3425
angles: 90.00 107.96 90.00
Fractional positions:
Cd: 0.0000 0.0000 0.0000
As: 0.1916 0.5000 0.8340
As: 0.8084 0.5000 0.1660
Cl: 0.5000 0.0000 0.5000

Calculated values
The value obtained for the uncorrected formation energy is -0.133 eV per atom. The excess energy over the best structure of this formula in the dataset is 139 meV/atom. Its total DFT energy (no corrections) is -3.148 eV per atom.

***

Entry 7:
Computed, not measured: a relaxed structure of Cd4As2Cl5 at the GGA-PBE level of DFT.

abc: 10.9863 10.9863 10.9863
angles: 162.61 133.69 49.83
Fractional positions:
Cd: 0.0843 0.0843 0.0000
Cd: 0.2394 0.5000 0.7394
Cd: 0.7606 0.5000 0.2606
Cd: 0.9157 0.9157 0.0000
As: 0.2571 0.2571 0.0000
As: 0.7429 0.7429 0.0000
Cl: 0.1304 0.3297 0.8006
Cl: 0.4709 0.6703 0.8006
Cl: 0.5000 0.0000 0.5000
Cl: 0.5291 0.3297 0.1994
Cl: 0.8696 0.6703 0.1994

Calculated values
The value obtained for the uncorrected formation energy is -0.286 eV per atom. The excess energy over the best structure of this formula in the dataset is 423 meV/atom. Its total DFT energy (no corrections) is -2.303 eV per atom.

***

Entry 8:
Computed, not measured: a relaxed structure of Cd2AsCl at the GGA-PBE level of DFT.

abc: 4.0734 4.0838 5.6408
angles: 90.00 90.00 90.00
Fractional positions:
Cd: 0.0000 0.0000 0.0000
Cd: 0.5000 0.5000 0.5000
As: 0.0000 0.0000 0.5000
Cl: 0.5000 0.5000 0.0000

Calculated values
The value obtained for the uncorrected formation energy is -0.336 eV per atom. The excess energy over the best structure of this formula in the dataset is 116 meV/atom. Its total DFT energy (no corrections) is -2.417 eV per atom.

***

Entry 9:
Computed, not measured: a relaxed structure of Cd2AsCl at the GGA-PBE level of DFT.

abc: 4.1504 4.1504 20.9699
angles: 90.00 90.00 120.00
Fractional positions:
Cd: 0.0000 0.0000 0.0000
Cd: 0.0000 0.0000 0.2016
Cd: 0.3333 0.6667 0.6667
Cd: 0.3333 0.6667 0.8682
Cd: 0.6667 0.3333 0.3333
Cd: 0.6667 0.3333 0.5349
As: 0.0000 0.0000 0.5937
As: 0.3333 0.6667 0.2604
As: 0.6667 0.3333 0.9271
Cl: 0.0000 0.0000 0.4112
Cl: 0.3333 0.6667 0.0779
Cl: 0.6667 0.3333 0.7445

Calculated values
The value obtained for the uncorrected formation energy is -0.303 eV per atom. The excess energy over the best structure of this formula in the dataset is 150 meV/atom. Its total DFT energy (no corrections) is -2.384 eV per atom.

***

Entry 10:
Computed, not measured: a relaxed structure of CdAs2Cl at the GGA-PBE level of DFT.

abc: 4.0077 4.0077 23.1825
angles: 90.00 90.00 90.00
Fractional positions:
Cd: 0.0000 0.0000 0.0000
Cd: 0.0000 0.5000 0.2500
Cd: 0.5000 0.0000 0.7500
Cd: 0.5000 0.5000 0.5000
As: 0.1863 0.2500 0.1250
As: 0.2500 0.6863 0.3750
As: 0.2500 0.8137 0.8750
As: 0.3137 0.2500 0.6250
As: 0.6863 0.7500 0.6250
As: 0.7500 0.1863 0.8750
As: 0.7500 0.3137 0.3750
As: 0.8137 0.7500 0.1250
Cl: 0.0000 0.0000 0.5000
Cl: 0.0000 0.5000 0.7500
Cl: 0.5000 0.0000 0.2500
Cl: 0.5000 0.5000 0.0000

Calculated values
The value obtained for the uncorrected formation energy is -0.101 eV per atom. The excess energy over the best structure of this formula in the dataset is 172 meV/atom. Its total DFT energy (no corrections) is -3.116 eV per atom.

***

Entry 11:
Computed, not measured: a relaxed structure of Cd2AsCl at the GGA-PBE level of DFT.

abc: 3.0400 5.1453 5.6899
angles: 90.00 90.00 90.00
Fractional positions:
Cd: 0.0000 0.0000 0.0000
Cd: 0.5000 0.5000 0.0000
As: 0.0000 0.5000 0.5000
Cl: 0.5000 0.0000 0.5000

Calculated values
The value obtained for the uncorrected formation energy is 0.121 eV per atom. The excess energy over the best structure of this formula in the dataset is 573 meV/atom. Its total DFT energy (no corrections) is -1.960 eV per atom.

***

Entry 12:
Computed, not measured: a relaxed structure of Cd2AsCl at the GGA-PBE level of DFT.

abc: 3.9321 3.9321 12.5947
angles: 90.00 90.00 90.00
Fractional positions:
Cd: 0.0000 0.0000 0.0000
Cd: 0.0000 0.5000 0.2500
Cd: 0.5000 0.0000 0.7500
Cd: 0.5000 0.5000 0.5000
As: 0.0000 0.0000 0.5000
As: 0.5000 0.5000 0.0000
Cl: 0.0000 0.5000 0.7500
Cl: 0.5000 0.0000 0.2500

Calculated values
The value obtained for the uncorrected formation energy is -0.021 eV per atom. The excess energy over the best structure of this formula in the dataset is 431 meV/atom. Its total DFT energy (no corrections) is -2.103 eV per atom.